No. 1
Entry from Alexandria: crystalline Tb2Zn3Si2 at its relaxed geometry (PBE).

Cell and atoms, written as POSCAR:
```
Tb2Zn3Si2
1.0
4.039 0.000 0.000
0.000 3.735 0.000
0.000 -1.868 9.430
Tb Zn Si
2 3 2
Direct
0.000 0.836 0.671
0.000 0.164 0.329
0.500 0.432 0.864
0.000 0.000 0.000
0.500 0.568 0.136
0.500 0.711 0.422
0.500 0.289 0.578
```

E_form (uncorrected) in kJ/mol of formula units: -246.6
VASP energy in eV/atom: -3.78
Calculated volume in Å³ per cell: 142
Spin magnetization in μB/cell: 0.00

No. 2
Entry from Alexandria: crystalline LiAcEuLu at its relaxed geometry (PBE).

Cell and atoms, written as POSCAR:
```
LiAcEuLu
1.0
5.810 0.000 0.000
2.905 5.032 0.000
2.905 1.677 4.744
Ac Lu Li Eu
1 1 1 1
Direct
0.250 0.250 0.250
0.500 0.500 0.500
0.000 0.000 0.000
0.750 0.750 0.750
```

VASP energy in eV/atom: -5.04
Calculated volume in Å³ per cell: 139
Spin magnetization in μB/cell: 7.16

No. 3
Entry from Alexandria: crystalline HfZr2Mn at its relaxed geometry (PBE).

Cell and atoms, written as POSCAR:
```
HfZr2Mn
1.0
3.213 0.000 0.000
1.606 2.782 0.000
1.606 0.927 9.018
Mn Zr Hf
1 2 1
Direct
0.000 0.000 0.000
0.263 0.263 0.211
0.737 0.737 0.789
0.500 0.500 0.500
```

VASP energy in eV/atom: -8.86
Calculated volume in Å³ per cell: 81
Distance to the lowest polymorph of the same formula in kJ/mol of atoms: 16.1
Spin magnetization in μB/cell: 0.92

No. 4
Entry from Alexandria: crystalline CoHg2SbPb at its relaxed geometry (PBE).

Cell and atoms, written as POSCAR:
```
CoHg2SbPb
1.0
5.649 0.000 0.000
0.000 6.067 0.000
0.000 0.000 5.649
Hg Sb Co Pb
2 1 1 1
Direct
0.000 0.000 0.500
0.500 0.000 0.000
0.000 0.500 0.000
0.500 0.500 0.500
0.000 0.000 0.000
```

E_form (uncorrected) in kJ/mol of formula units: 567.8
VASP energy in eV/atom: -1.93
Calculated volume in Å³ per cell: 194
Spin magnetization in μB/cell: 2.29

No. 5
Entry from Alexandria: crystalline NdSb3Pd5 at its relaxed geometry (PBE).

Cell and atoms, written as POSCAR:
```
NdSb3Pd5
1.0
4.510 0.000 0.000
-2.255 7.407 0.000
0.000 0.000 11.233
Pd Sb Nd
10 6 2
Direct
0.551 0.103 0.626
0.812 0.623 0.470
0.812 0.623 0.030
0.551 0.103 0.874
0.188 0.377 0.530
0.188 0.377 0.970
0.000 0.000 0.500
0.449 0.897 0.374
0.449 0.897 0.126
0.000 0.000 0.000
0.367 0.735 0.915
0.633 0.265 0.085
0.633 0.265 0.415
0.911 0.821 0.250
0.367 0.735 0.585
0.089 0.179 0.750
0.250 0.501 0.250
0.750 0.499 0.750
```

E_form (uncorrected) in kJ/mol of formula units: -526.6
VASP energy in eV/atom: -5.40
Calculated volume in Å³ per cell: 375
Spin magnetization in μB/cell: 0.00

No. 6
Entry from Alexandria: crystalline LiPW at its relaxed geometry (PBE).

Cell and atoms, written as POSCAR:
```
LiPW
1.0
-4.524 -0.655 1.140
-1.595 -0.779 4.364
2.823 2.863 -2.455
Li P W
1 1 1
Direct
0.988 0.988 0.000
0.333 0.333 0.000
0.679 0.679 0.000
```

VASP energy in eV/atom: -6.75
Calculated volume in Å³ per cell: 40
Distance to the lowest polymorph of the same formula in kJ/mol of atoms: 35.8
Spin magnetization in μB/cell: 0.00

No. 7
Entry from Alexandria: crystalline AlVTe3 at its relaxed geometry (PBE).

Cell and atoms, written as POSCAR:
```
AlVTe3
1.0
5.283 0.000 0.000
0.000 5.283 0.000
0.000 0.000 5.283
Te Al V
3 1 1
Direct
0.500 0.000 0.000
0.000 0.000 0.500
0.000 0.500 0.000
0.000 0.000 0.000
0.500 0.500 0.500
```

E_form (uncorrected) in kJ/mol of formula units: 278.4
VASP energy in eV/atom: -3.88
Calculated volume in Å³ per cell: 147
Distance to the lowest polymorph of the same formula in kJ/mol of atoms: 29.3
Spin magnetization in μB/cell: 3.17

No. 8
Entry from Alexandria: crystalline Y5Cd2In at its relaxed geometry (PBE).

Cell and atoms, written as POSCAR:
```
Y5Cd2In
1.0
7.516 0.000 -3.548
-1.675 7.327 -3.548
-0.430 -0.539 8.824
In Y Cd
2 10 4
Direct
0.250 0.250 0.500
0.750 0.750 0.500
0.997 0.497 0.305
0.500 0.500 0.000
0.497 0.308 0.305
0.503 0.692 0.695
0.808 0.997 0.305
0.692 0.192 0.695
0.192 0.003 0.695
0.003 0.503 0.695
0.308 0.808 0.305
0.000 0.000 0.000
0.364 0.864 0.000
0.636 0.136 0.000
0.136 0.364 0.000
0.864 0.636 0.000
```

VASP energy in eV/atom: -4.89
Calculated volume in Å³ per cell: 457
Spin magnetization in μB/cell: 0.00

No. 9
Entry from Alexandria: crystalline Cd2C at its relaxed geometry (PBE).

Cell and atoms, written as POSCAR:
```
Cd2C
1.0
-2.238 2.657 -0.622
-2.728 -2.189 0.464
-0.045 0.959 4.259
Cd C
2 1
Direct
0.500 0.500 0.000
0.000 0.000 0.500
0.000 0.000 0.000
```

VASP energy in eV/atom: -2.52
Calculated volume in Å³ per cell: 54
Distance to the lowest polymorph of the same formula in kJ/mol of atoms: 40.8
Spin magnetization in μB/cell: 0.00

No. 10
Entry from Alexandria: crystalline CaMn6Ge6 at its relaxed geometry (PBE).

Cell and atoms, written as POSCAR:
```
CaMn6Ge6
1.0
4.755 0.000 2.076
2.106 6.017 1.659
-0.045 -0.072 6.587
Ge Mn Ca
6 6 1
Direct
0.665 0.335 0.335
0.332 0.168 0.168
0.335 0.665 0.665
0.000 0.657 0.343
0.000 0.343 0.657
0.668 0.832 0.832
0.000 0.000 0.500
0.500 0.253 0.747
0.500 0.000 0.500
0.000 0.500 0.000
0.500 0.747 0.253
0.500 0.500 0.000
0.000 0.000 0.000
```

VASP energy in eV/atom: -6.75
Calculated volume in Å³ per cell: 189
Spin magnetization in μB/cell: 11.80

No. 11
Entry from Alexandria: crystalline Ba8P3RhI3 at its relaxed geometry (PBE).

Cell and atoms, written as POSCAR:
```
Ba8P3RhI3
1.0
-0.752 2.768 9.000
-4.209 -7.960 -2.861
9.968 0.046 0.818
I Ba P Rh
3 8 3 1
Direct
0.500 0.500 0.000
0.000 0.500 0.000
0.000 0.000 0.000
0.265 0.034 0.304
0.769 0.539 0.304
0.735 0.966 0.696
0.734 0.467 0.701
0.231 0.966 0.696
0.769 0.034 0.304
0.266 0.533 0.299
0.231 0.461 0.696
0.500 0.500 0.500
0.000 0.500 0.500
0.500 0.000 0.500
0.000 0.000 0.500
```

E_form (uncorrected) in kJ/mol of formula units: -1664.5
VASP energy in eV/atom: -4.06
Calculated volume in Å³ per cell: 648
Spin magnetization in μB/cell: 0.94

No. 12
Entry from Alexandria: crystalline NdTh2Co at its relaxed geometry (PBE).

Cell and atoms, written as POSCAR:
```
NdTh2Co
1.0
3.536 0.000 0.000
0.000 3.536 0.000
0.000 0.000 8.731
Co Th Nd
1 2 1
Direct
0.500 0.500 0.000
0.000 0.000 0.183
0.000 0.000 0.817
0.500 0.500 0.500
```

VASP energy in eV/atom: -6.68
Calculated volume in Å³ per cell: 109
Distance to the lowest polymorph of the same formula in kJ/mol of atoms: 15.7
Spin magnetization in μB/cell: 0.00